Compound: HgN
Source: Alexandria
Functional: PBE
Structure: relaxed

size of the total moment: 3.86 μB per cell
E: -2.687 eV/atom

a b c (Å): 6.4080 6.4080 6.4080
angles (deg): 90.00 90.00 90.00
With the nearest neighbours (Å) after each atom.
Space group Pm-3n (No. 223)
One atom of each set of equivalent atoms:
Hg  0.0000  0.2500  0.5000 (multiplicity 6)  4 N 2.27
N  0.0000  0.5000  0.2500 (multiplicity 6)  4 Hg 2.27